No. 1
# PBE Fe2ReTcH, relaxed
data_Fe2ReTcH
_chemical_formula_sum 'Fe2 Re1 Tc1 H1'
_cell_length_a 3.710
_cell_length_b 3.710
_cell_length_c 3.790
_cell_angle_alpha 90.00
_cell_angle_beta 90.00
_cell_angle_gamma 90.00
_symmetry_space_group_name_H-M 'P 4/m m m'
_symmetry_Int_Tables_number 123
_symmetry_space_group_name_Hall '-P 4 2'
loop_
_atom_site_label
_atom_site_fract_x
_atom_site_fract_y
_atom_site_fract_z
Fe1 0.000 0.500 0.000
Re1 0.000 0.000 0.500
Tc1 0.500 0.500 0.500
H1 0.500 0.500 0.000
# excess energy over the best structure of this formula in the dataset = 0 meV per atom
# total magnetic moment = 0.0 μB/f.u.
# calculated density = 12.6 g/cm3
# V = 52.2 Å³/f.u.

=====

No. 2
# PBE La2PuBiO8, relaxed
data_La2PuBiO8
_chemical_formula_sum 'La2 Pu1 Bi1 O8'
_cell_length_a 4.194
_cell_length_b 5.637
_cell_length_c 7.617
_cell_angle_alpha 89.95
_cell_angle_beta 89.99
_cell_angle_gamma 82.75
_symmetry_space_group_name_H-M 'P -1'
_symmetry_Int_Tables_number 2
loop_
_symmetry_equiv_pos_as_xyz
'x,y,z'
'-x,-y,-z'
loop_
_atom_site_label
_atom_site_fract_x
_atom_site_fract_y
_atom_site_fract_z
La1 0.000 0.000 0.246
Pu1 0.500 0.500 0.500
Bi1 0.500 0.500 0.000
O1 0.014 0.753 0.000
O2 0.088 0.708 0.500
O3 0.446 0.271 0.285
O4 0.446 0.272 0.715
# total magnetic moment = 1.0 μB/f.u.
# calculated density = 8.0 g/cm3
# total energy = -8.196 eV per atom
# V = 178.6 Å³/f.u.

=====

No. 3
# PBE Mg3NbRu, relaxed
data_Mg3NbRu
_chemical_formula_sum 'Mg3 Nb1 Ru1'
_cell_length_a 4.756
_cell_length_b 4.756
_cell_length_c 4.756
_cell_angle_alpha 90.00
_cell_angle_beta 90.00
_cell_angle_gamma 90.00
_symmetry_space_group_name_H-M 'P m -3 m'
_symmetry_Int_Tables_number 221
_symmetry_space_group_name_Hall '-P 4 2 3'
loop_
_atom_site_label
_atom_site_fract_x
_atom_site_fract_y
_atom_site_fract_z
Mg1 0.000 0.000 0.500
Nb1 0.500 0.500 0.500
Ru1 0.000 0.000 0.000
# excess energy over the best structure of this formula in the dataset = 0 meV per atom
# total magnetic moment = 0.0 μB/f.u.
# calculated density = 4.1 g/cm3
# ΔE_f = 0.900 eV/atom
# V = 107.6 Å³/f.u.

=====

No. 4
# PBE Tl2SbW, relaxed
data_Tl2SbW
_chemical_formula_sum 'Tl2 Sb1 W1'
_cell_length_a 3.312
_cell_length_b 3.309
_cell_length_c 9.226
_cell_angle_alpha 90.00
_cell_angle_beta 92.67
_cell_angle_gamma 90.00
_symmetry_space_group_name_H-M 'P 1 m 1'
_symmetry_Int_Tables_number 6
loop_
_symmetry_equiv_pos_as_xyz
'x,y,z'
'x,-y,z'
loop_
_atom_site_label
_atom_site_fract_x
_atom_site_fract_y
_atom_site_fract_z
Tl1 0.000 0.000 0.000
Tl2 0.353 0.500 0.706
Sb1 0.290 0.500 0.321
W1 0.811 0.000 0.487
# excess energy over the best structure of this formula in the dataset = 15 meV per atom
# total magnetic moment = 0.0 μB/f.u.
# calculated density = 11.7 g/cm3
# V = 101.0 Å³/f.u.

=====

No. 5
# PBE Sc2TlFe, relaxed
data_Sc2TlFe
_chemical_formula_sum 'Sc8 Tl4 Fe4'
_cell_length_a 6.716
_cell_length_b 6.716
_cell_length_c 6.716
_cell_angle_alpha 90.00
_cell_angle_beta 90.00
_cell_angle_gamma 90.00
_symmetry_space_group_name_H-M 'F -4 3 m'
_symmetry_Int_Tables_number 216
_symmetry_space_group_name_Hall 'F -4 2 3'
loop_
_atom_site_label
_atom_site_fract_x
_atom_site_fract_y
_atom_site_fract_z
Sc1 0.000 0.000 0.000
Sc2 0.250 0.250 0.250
Tl1 0.000 0.000 0.500
Fe1 0.250 0.250 0.750
# total magnetic moment = 1.0 μB/f.u.
# calculated density = 7.7 g/cm3
# ΔE_f = 0.068 eV/atom
# V = 75.7 Å³/f.u.

=====

No. 6
# PBE LiNbSn2As, relaxed
data_LiNbSn2As
_chemical_formula_sum 'Li1 Nb1 Sn2 As1'
_cell_length_a 5.371
_cell_length_b 5.371
_cell_length_c 4.310
_cell_angle_alpha 90.00
_cell_angle_beta 90.00
_cell_angle_gamma 90.00
_symmetry_space_group_name_H-M 'P 4/m m m'
_symmetry_Int_Tables_number 123
_symmetry_space_group_name_Hall '-P 4 2'
loop_
_atom_site_label
_atom_site_fract_x
_atom_site_fract_y
_atom_site_fract_z
Li1 0.000 0.000 0.000
Nb1 0.500 0.500 0.000
Sn1 0.000 0.500 0.500
As1 0.000 0.000 0.500
# total magnetic moment = 2.7 μB/f.u.
# calculated density = 5.5 g/cm3
# ΔE_f = 0.692 eV/atom
# V = 124.3 Å³/f.u.

=====

| no. | DOS(E_F) (states/eV/f.u.) |
| --- | --- |
| 1 | 3.878 |
| 2 | 0.738 |
| 3 | 4.600 |
| 4 | 2.686 |
| 5 | 5.628 |
| 6 | 4.111 |